An optimized crystal structure of Tm7Al3. Source: Alexandria, functional PBE.

- Final energy: -88.22 eV per cell
- Total magnetization: 0.0 μB/f.u.
- DOS(E_F): 1.314 states/eV/atom

```
data_Tm7Al3
_chemical_formula_sum 'Tm14 Al6'
_symmetry_space_group_name_H-M 'P 1'
_symmetry_Int_Tables_number 1
_symmetry_space_group_name_Hall 'P 1'
_cell_length_a 10.071
_cell_length_b 10.071
_cell_length_c 6.234
_cell_angle_alpha 90.00
_cell_angle_beta 90.00
_cell_angle_gamma 120.00
loop_
_atom_site_label
_atom_site_type_symbol
_atom_site_fract_x
_atom_site_fract_y
_atom_site_fract_z
Tm1 Tm 0.056 0.528 0.000
Tm2 Tm 0.126 0.252 0.749
Tm3 Tm 0.126 0.874 0.749
Tm4 Tm 0.252 0.126 0.249
Tm5 Tm 0.333 0.667 0.572
Tm6 Tm 0.472 0.528 0.000
Tm7 Tm 0.472 0.944 0.000
Tm8 Tm 0.528 0.056 0.500
Tm9 Tm 0.528 0.472 0.500
Tm10 Tm 0.667 0.333 0.072
Tm11 Tm 0.748 0.874 0.749
Tm12 Tm 0.874 0.126 0.249
Tm13 Tm 0.874 0.748 0.249
Tm14 Tm 0.944 0.472 0.500
Al1 Al 0.195 0.390 0.294
Al2 Al 0.195 0.805 0.294
Al3 Al 0.390 0.195 0.794
Al4 Al 0.610 0.805 0.294
Al5 Al 0.805 0.195 0.794
Al6 Al 0.805 0.610 0.794
```